1.
8
Lattice="4.359 0.000 0.000 0.000 2.179 13.479 0.000 -2.179 13.479" Properties=species:S:1:pos:R:3 comment="NdTmTe6 PBE optimized geometry" total_magnetization_mub_per_cell=0.00 total_energy_ev_per_cell=-35.44 raw_formation_energy_mev_per_atom=-919 sg="No. 38" pbc="T T T"
Nd 0.000 0.000 0.000
Tm 2.180 0.000 9.295
Te 0.000 0.000 6.811
Te 0.000 0.000 16.061
Te 0.000 0.000 23.667
Te 2.180 0.000 2.580
Te 2.180 0.000 12.466
Te 2.180 0.000 20.288

=====

2.
4
Lattice="0.000 3.945 3.945 3.945 0.000 3.945 3.945 3.945 0.000" Properties=species:S:1:pos:R:3 comment="PmYThMg PBE optimized geometry" total_magnetization_mub_per_cell=0.41 relative_energy_ev_per_atom=0.1870 total_energy_ev_per_cell=-19.68 sg="No. 216" formation_enthalpy_0k_ev_per_fu=0.6 pbc="T T T"
Pm 0.000 0.000 0.000
Y 5.917 5.917 5.917
Th 1.972 1.972 1.972
Mg 3.945 3.945 3.945

=====

3.
9
Lattice="4.222 0.000 0.000 -2.111 3.656 0.000 0.000 0.000 7.711" Properties=species:S:1:pos:R:3 comment="V4Cr2Ru3 PBE optimized geometry" total_magnetization_mub_per_cell=0.09 total_energy_ev_per_cell=-84.89 sg="No. 164" formation_enthalpy_0k_ev_per_fu=-1.3 pbc="T T T"
V 0.000 0.000 1.267
V 0.000 0.000 6.444
V 0.000 2.437 4.704
V 2.111 1.219 3.008
Cr 0.000 2.437 2.156
Cr 2.111 1.219 5.555
Ru 0.000 0.000 3.856
Ru 0.000 2.437 7.129
Ru 2.111 1.219 0.582

=====

4.
11
Lattice="8.527 -3.434 0.000 8.527 3.434 0.000 -1.165 0.000 6.632" Properties=species:S:1:pos:R:3 comment="Pr8YEr2 PBE optimized geometry" total_magnetization_mub_per_cell=0.00 relative_energy_ev_per_atom=0.0556 total_energy_ev_per_cell=-52.01 sg="No. 12" formation_enthalpy_0k_ev_per_fu=1.8 pbc="T T T"
Pr 0.574 0.000 6.085
Pr 6.354 1.792 3.930
Pr 3.561 0.000 4.488
Pr 9.534 1.792 2.702
Pr 6.354 -1.792 3.930
Pr 12.327 0.000 2.144
Pr 9.534 -1.792 2.702
Pr 15.315 0.000 0.546
Y 8.527 0.000 0.000
Er 4.970 0.000 1.258
Er 10.918 0.000 5.373

=====

5.
4
Lattice="3.002 0.000 0.000 0.000 3.002 0.000 0.000 0.000 5.148" Properties=species:S:1:pos:R:3 comment="BeCr2Tc PBE optimized geometry" total_magnetization_mub_per_cell=0.00 total_energy_ev_per_cell=-33.21 sg="No. 123" formation_enthalpy_0k_ev_per_fu=0.1 pbc="T T T"
Be 0.000 0.000 0.000
Cr 1.501 1.501 1.089
Cr 1.501 1.501 4.059
Tc 0.000 0.000 2.574

=====

6.
5
Lattice="4.254 0.000 0.000 0.000 4.254 0.000 0.000 0.000 6.210" Properties=species:S:1:pos:R:3 comment="ScCrAsCl2 PBE optimized geometry" total_magnetization_mub_per_cell=0.00 total_energy_ev_per_cell=-24.68 raw_formation_energy_mev_per_atom=-75 sg="No. 123" pbc="T T T"
Sc 0.000 0.000 0.000
Cr 0.000 0.000 3.105
As 2.127 2.127 0.000
Cl 0.000 2.127 3.105
Cl 2.127 0.000 3.105

=====

7.
4
Lattice="0.000 3.841 3.841 3.841 0.000 3.841 3.841 3.841 0.000" Properties=species:S:1:pos:R:3 comment="NdDyMgPb PBE optimized geometry" total_magnetization_mub_per_cell=0.00 total_energy_ev_per_cell=-15.87 sg="No. 216" formation_enthalpy_0k_ev_per_fu=-1.2 pbc="T T T"
Nd 0.000 0.000 0.000
Dy 3.841 3.841 3.841
Mg 5.762 5.762 5.762
Pb 1.921 1.921 1.921

=====

8.
4
Lattice="3.926 0.000 0.000 0.000 3.926 0.000 0.000 0.000 3.786" Properties=species:S:1:pos:R:3 comment="Ta2CoCu PBE optimized geometry" total_magnetization_mub_per_cell=0.00 total_energy_ev_per_cell=-34.84 sg="No. 123" formation_enthalpy_0k_ev_per_fu=0.1 pbc="T T T"
Ta 0.000 1.963 0.000
Ta 1.963 0.000 0.000
Co 0.000 0.000 1.893
Cu 1.963 1.963 1.893

=====

9.
4
Lattice="4.861 0.000 0.000 0.000 1.882 5.830 0.000 -1.882 5.830" Properties=species:S:1:pos:R:3 comment="Y2TlSe PBE optimized geometry" total_magnetization_mub_per_cell=0.00 relative_energy_ev_per_atom=0.1984 total_energy_ev_per_cell=-22.29 raw_formation_energy_mev_per_atom=-878 sg="No. 38" pbc="T T T"
Y 0.000 0.000 0.000
Y 2.431 0.000 3.049
Tl 2.431 0.000 6.099
Se 0.000 0.000 8.752

=====

10.
8
Lattice="6.074 0.000 0.000 0.000 3.923 0.000 -2.493 0.000 7.398" Properties=species:S:1:pos:R:3 comment="Th2FeTc PBE optimized geometry" total_magnetization_mub_per_cell=2.09 total_energy_ev_per_cell=-67.82 sg="No. 11" formation_enthalpy_0k_ev_per_fu=-0.2 pbc="T T T"
Th 0.277 0.981 3.213
Th -0.946 0.981 6.862
Th 4.527 2.943 0.536
Th 3.304 2.943 4.185
Fe 0.264 2.943 5.238
Fe 3.316 0.981 2.160
Tc 1.569 2.943 1.571
Tc 2.011 0.981 5.827

=====

11.
8
Lattice="6.389 0.000 0.000 0.000 4.412 0.000 -3.149 0.000 8.477" Properties=species:S:1:pos:R:3 comment="SrLaGa2 PBE optimized geometry" total_magnetization_mub_per_cell=0.00 total_energy_ev_per_cell=-29.41 sg="No. 11" formation_enthalpy_0k_ev_per_fu=-2.0 pbc="T T T"
Sr 0.062 1.103 3.658
Sr 3.178 3.309 4.819
La -1.557 1.103 7.864
La 4.797 3.309 0.613
Ga 1.722 3.309 1.652
Ga 0.037 3.309 6.297
Ga 3.203 1.103 2.179
Ga 1.518 1.103 6.824

=====

12.
4
Lattice="4.455 0.000 0.000 0.000 4.455 0.000 0.000 0.000 5.020" Properties=species:S:1:pos:R:3 comment="Ce2ZrSn PBE optimized geometry" total_magnetization_mub_per_cell=0.00 relative_energy_ev_per_atom=0.0000 total_energy_ev_per_cell=-25.91 sg="No. 123" formation_enthalpy_0k_ev_per_fu=-1.5 pbc="T T T"
Ce 0.000 2.227 0.000
Ce 2.227 0.000 0.000
Zr 0.000 0.000 2.510
Sn 2.227 2.227 2.510

=====

13.
4
Lattice="-1.593 2.172 4.301 1.593 -2.172 4.301 1.593 2.172 -4.301" Properties=species:S:1:pos:R:3 comment="CoMo2W PBE optimized geometry" total_magnetization_mub_per_cell=1.48 relative_energy_ev_per_atom=0.1162 total_energy_ev_per_cell=-40.96 sg="No. 71" formation_enthalpy_0k_ev_per_fu=0.8 pbc="T T T"
Co 0.000 0.000 0.000
Mo 1.593 0.000 2.190
Mo 0.000 2.172 2.111
W 0.000 0.000 4.301

=====

14.
6
Lattice="5.688 -1.332 0.000 5.688 1.332 0.000 -1.228 0.000 7.451" Properties=species:S:1:pos:R:3 comment="KC2 PBE optimized geometry" total_magnetization_mub_per_cell=2.90 relative_energy_ev_per_atom=1.2376 total_energy_ev_per_cell=-28.64 sg="No. 8" formation_enthalpy_0k_ev_per_fu=5.2 pbc="T T T"
K 0.000 0.000 0.000
K 1.955 0.000 4.274
C 1.749 0.000 7.064
C 4.915 0.000 3.767
C 5.591 0.000 2.582
C 10.219 0.000 4.354

=====

15.
4
Lattice="0.000 3.554 3.554 3.554 0.000 3.554 3.554 3.554 0.000" Properties=species:S:1:pos:R:3 comment="CeMgZrTi PBE optimized geometry" total_magnetization_mub_per_cell=0.00 total_energy_ev_per_cell=-23.44 sg="No. 216" formation_enthalpy_0k_ev_per_fu=0.5 pbc="T T T"
Ce 0.000 0.000 0.000
Mg 1.777 1.777 1.777
Zr 3.554 3.554 3.554
Ti 5.331 5.331 5.331

=====

16.
6
Lattice="4.403 0.000 0.000 0.000 4.403 0.000 0.000 0.000 8.189" Properties=species:S:1:pos:R:3 comment="SmHoGe PBE optimized geometry" total_magnetization_mub_per_cell=0.00 relative_energy_ev_per_atom=0.0000 total_energy_ev_per_cell=-31.45 sg="No. 129" formation_enthalpy_0k_ev_per_fu=-1.8 pbc="T T T"
Sm 1.101 1.101 1.187
Sm 3.303 3.303 7.002
Ho 1.101 3.303 4.094
Ho 3.303 1.101 4.094
Ge 1.101 1.101 6.314
Ge 3.303 3.303 1.875

=====

17.
10
Lattice="4.089 0.000 0.000 0.000 4.089 0.000 0.000 0.000 10.689" Properties=species:S:1:pos:R:3 comment="Y2HfSi3Ir4 PBE optimized geometry" total_magnetization_mub_per_cell=0.00 total_energy_ev_per_cell=-84.92 raw_formation_energy_mev_per_atom=-1033 sg="No. 115" pbc="T T T"
Y 0.000 2.045 2.480
Y 2.045 0.000 8.209
Hf 0.000 0.000 5.345
Si 0.000 2.045 9.372
Si 2.045 0.000 1.317
Si 2.045 2.045 5.345
Ir 0.000 0.000 0.000
Ir 0.000 2.045 6.967
Ir 2.045 0.000 3.722
Ir 2.045 2.045 0.000

=====

18.
4
Lattice="-2.254 2.254 4.303 2.254 -2.254 4.303 2.254 2.254 -4.303" Properties=species:S:1:pos:R:3 comment="HgTeAu2 PBE optimized geometry" total_magnetization_mub_per_cell=0.00 relative_energy_ev_per_atom=0.1777 total_energy_ev_per_cell=-9.15 raw_formation_energy_mev_per_atom=212 sg="No. 139" pbc="T T T"
Hg 0.000 0.000 0.000
Te 0.000 0.000 4.303
Au 2.254 0.000 2.152
Au 0.000 2.254 2.152

=====

19.
5
Lattice="5.117 0.000 0.000 0.000 5.117 0.000 0.000 0.000 5.273" Properties=species:S:1:pos:R:3 comment="ZrCr2InCl PBE optimized geometry" total_magnetization_mub_per_cell=6.47 total_energy_ev_per_cell=-25.88 raw_formation_energy_mev_per_atom=1299 sg="No. 123" pbc="T T T"
Zr 0.000 0.000 0.000
Cr 0.000 2.559 2.637
Cr 2.559 0.000 2.637
In 2.559 2.559 2.637
Cl 2.559 2.559 0.000

=====

20.
5
Lattice="5.290 0.000 0.000 0.000 5.290 0.000 0.000 0.000 5.290" Properties=species:S:1:pos:R:3 comment="YHf3Sb PBE optimized geometry" total_magnetization_mub_per_cell=0.00 relative_energy_ev_per_atom=0.0000 total_energy_ev_per_cell=-37.38 raw_formation_energy_mev_per_atom=613 sg="No. 221" pbc="T T T"
Y 0.000 0.000 0.000
Hf 0.000 2.645 2.645
Hf 2.645 0.000 2.645
Hf 2.645 2.645 0.000
Sb 2.645 2.645 2.645

=====

21.
12
Lattice="5.004 0.000 0.000 0.000 10.669 0.000 0.000 0.000 7.092" Properties=species:S:1:pos:R:3 comment="Y2Ho2TmTh PBE optimized geometry" total_magnetization_mub_per_cell=0.00 total_energy_ev_per_cell=-67.54 sg="No. 26" formation_enthalpy_0k_ev_per_fu=0.2 pbc="T T T"
Y 0.000 0.009 0.000
Y 0.000 10.660 3.546
Y 2.502 1.813 5.358
Y 2.502 8.856 1.812
Ho 0.000 3.589 3.548
Ho 0.000 7.080 0.002
Ho 2.502 1.823 1.740
Ho 2.502 8.846 5.286
Tm 2.502 5.328 1.782
Tm 2.502 5.341 5.328
Th 0.000 3.559 0.015
Th 0.000 7.110 3.561

=====

22.
20
Lattice="7.017 0.000 0.000 0.000 7.802 0.000 -6.928 0.000 10.671" Properties=species:S:1:pos:R:3 comment="La6PtAu2C PBE optimized geometry" total_magnetization_mub_per_cell=0.00 total_energy_ev_per_cell=-114.64 sg="No. 14" formation_enthalpy_0k_ev_per_fu=-5.9 pbc="T T T"
La -2.337 1.611 4.727
La -5.802 2.290 10.063
La -1.323 5.252 4.652
La -4.787 6.452 9.987
La 0.902 0.275 2.487
La -2.563 3.626 7.822
La 2.651 4.176 2.848
La -0.813 7.527 8.184
La 4.876 1.351 0.683
La 1.412 2.550 6.019
La 5.890 5.512 0.608
La 2.426 6.191 5.943
Pt 0.044 0.000 5.335
Pt 3.509 3.901 0.000
Au -3.789 0.749 7.896
Au -0.325 3.152 2.560
Au 0.414 4.650 8.110
Au 3.878 7.053 2.775
C 0.000 0.000 0.000
C -3.464 3.901 5.335

=====

23.
11
Lattice="-2.633 3.963 7.470 2.633 -3.963 7.470 2.633 3.963 -7.470" Properties=species:S:1:pos:R:3 comment="Ho6Sc5 PBE optimized geometry" total_magnetization_mub_per_cell=0.00 relative_energy_ev_per_atom=0.0000 total_energy_ev_per_cell=-57.64 sg="No. 71" formation_enthalpy_0k_ev_per_fu=1.5 pbc="T T T"
Ho 2.633 1.665 -2.136
Ho 0.000 1.668 0.000
Ho 2.633 1.665 2.136
Ho 0.000 2.298 5.335
Ho 0.000 6.258 0.000
Ho 0.000 2.298 9.606
Sc 0.000 0.000 3.038
Sc 2.633 0.000 5.068
Sc 0.000 0.000 7.470
Sc 0.000 3.963 2.402
Sc 0.000 0.000 11.903

=====

24.
7
Lattice="6.162 0.000 0.000 2.375 5.690 0.000 1.178 2.837 5.690" Properties=species:S:1:pos:R:3 comment="PmTm2Sc4 PBE optimized geometry" total_magnetization_mub_per_cell=0.00 relative_energy_ev_per_atom=0.1531 total_energy_ev_per_cell=-37.56 sg="No. 1" formation_enthalpy_0k_ev_per_fu=1.5 pbc="T T T"
Pm 0.000 0.000 0.000
Tm 5.446 5.687 2.501
Tm 4.263 2.838 3.189
Sc 7.341 2.836 2.240
Sc 8.528 5.682 3.450
Sc 3.060 1.917 0.003
Sc 6.657 6.612 5.687

=====

25.
4
Lattice="1.809 1.045 6.736 -1.809 1.045 6.736 0.000 -2.089 6.736" Properties=species:S:1:pos:R:3 comment="NaYN2 PBE optimized geometry" total_magnetization_mub_per_cell=2.00 relative_energy_ev_per_atom=0.0000 total_energy_ev_per_cell=-24.61 raw_formation_energy_mev_per_atom=-43 sg="No. 166" pbc="T T T"
Na 0.000 0.000 0.000
Y 0.000 0.000 10.104
N 0.000 0.000 2.258
N 0.000 0.000 17.949

=====

26.
4
Lattice="4.913 -1.466 0.000 4.913 1.466 0.000 -1.817 0.000 4.282" Properties=species:S:1:pos:R:3 comment="CrInRu2 PBE optimized geometry" total_magnetization_mub_per_cell=2.33 total_energy_ev_per_cell=-30.01 sg="No. 8" formation_enthalpy_0k_ev_per_fu=0.9 pbc="T T T"
Cr 0.000 0.000 0.000
In 1.160 0.000 2.642
Ru 3.800 0.000 2.042
Ru 7.075 0.000 0.484

=====

In Mg/m³, the ρ values for the records above are, in order, 7.0; 6.6; 8.5; 6.6; 7.6; 3.6; 7.9; 13.8; 7.2; 11.6; 5.1; 8.2; 12.1; 1.9; 5.6; 8.1; 11.2; 13.7; 4.2; 8.4; 8.0; 8.2; 6.5; 5.5; 3.0; 9.9.